1.
Entry from OQMD via LeMat-Bulk: a relaxed NaSmMg crystal (PBE).

Geometry as extended XYZ:
```
3
Lattice="0.0000 3.7237 3.7237 3.7237 0.0000 3.7237 3.7237 3.7237 0.0000" Properties=species:S:1:pos:R:3 pbc="T T T"
Sm 5.5855 5.5855 5.5855
Na 1.8618 1.8618 1.8618
Mg 0.0000 0.0000 0.0000
```

Computed properties:
crystal system	cubic
space group	F-43m, No. 216
ρ	3.2	Mg/m³
distance to the lowest polymorph of the same formula	0.000	kcal/mol of atoms

---

2.
Entry from OQMD via LeMat-Bulk: a relaxed TbScO3 crystal (PBE).

Geometry as extended XYZ:
```
10
Lattice="-3.0188 -4.4336 1.4250 -5.0199 0.6736 2.2687 -4.7133 -1.3095 -3.2521" Properties=species:S:1:pos:R:3 pbc="T T T"
O -8.7366 -2.4280 -0.0113
O -5.8436 -0.8298 -1.3437
O -6.7354 -0.6825 1.6622
O -6.9084 -4.2396 1.7852
Sc -8.9423 -3.7849 1.7015
Tb -7.2096 -2.5578 -1.6170
Tb -5.5423 -2.5117 2.0586
O -4.0154 -2.6415 0.4529
O -6.0166 -4.3870 -1.2206
Sc -3.8096 -1.2846 -1.2600
```

Computed properties:
crystal system	trigonal
space group	R-3, No. 148
VASP energy	-86.61	eV/cell
ρ	6.4	Mg/m³

---

3.
Entry from OQMD via LeMat-Bulk: a relaxed Nb2InSn2 crystal (PBE).

Geometry as extended XYZ:
```
5
Lattice="-2.0184 2.0184 6.9265 2.0184 -2.0184 6.9265 2.0184 2.0184 -6.9265" Properties=species:S:1:pos:R:3 pbc="T T T"
Sn 2.0184 0.0000 3.4633
Sn 0.0000 2.0184 3.4633
Nb 0.0000 0.0000 5.6214
In 0.0000 0.0000 0.0000
Nb 0.0000 0.0000 8.2316
```

Computed properties:
crystal system	tetragonal
space group	I4/mmm, No. 139
ρ	7.9	Mg/m³
distance to the lowest polymorph of the same formula	0.000	kcal/mol of atoms

---

4.
Entry from OQMD via LeMat-Bulk: a relaxed IrO3 crystal (PBE).

Geometry as extended XYZ:
```
16
Lattice="-2.5326 -4.4574 0.0215 -2.6033 4.4961 -0.0199 3.4851 0.0136 -8.9811" Properties=species:S:1:pos:R:3 pbc="T T T"
O 0.2088 -1.8092 -3.3128
O -0.6970 -0.1853 -1.4683
O -1.8837 1.7884 -5.6047
O 1.6440 1.7616 -7.6384
O -0.7949 0.0262 -8.1389
O -0.0382 1.7270 -3.4528
O 0.9541 0.0573 -5.5904
O 1.8567 -1.4195 -8.1480
O -3.0940 1.5467 -0.9976
Ir -0.8898 -2.9304 -4.5587
O -2.7490 0.1690 -3.4122
Ir -1.5581 1.2743 -2.0246
O -3.5541 -1.7165 -0.9853
O -1.7809 -1.5102 -5.5231
Ir -0.8959 3.0858 -4.6040
Ir 0.9282 3.0203 -8.6433
```

Computed properties:
crystal system	triclinic
space group	P1, No. 1
VASP energy	-100.27	eV/cell
ρ	7.7	Mg/m³